## ZrNiPb2 (PBE-GGA)

Data for a relaxed ZrNiPb2 crystal.

Lattice parameters (Å, degrees): 5.811 5.811 5.811 146.97 123.61 66.92
Fractional positions:
Pb1 0.216 0.216 0.000
Zr1 0.500 0.000 0.500
Pb2 0.784 0.784 0.000
Ni1 0.000 0.500 0.500

density of states at the Fermi level	3.447	states/eV/f.u.
magnetization	0.00	μB per atom
electronic total energy	-5.286	eV/atom